1.
# InAg2Te2Cl2

A geometry-optimized InAg2Te2Cl2 structure (PBE-GGA, Alexandria).

abc: 4.459 7.490 7.602
angles: 114.53 90.10 107.22
Sites, in units of the cell vectors:
In: 0.000 0.000 0.000
Ag: 0.288 0.577 0.614
Ag: 0.712 0.423 0.386
Te: 0.220 0.441 0.185
Te: 0.780 0.559 0.815
Cl: 0.498 0.993 0.229
Cl: 0.502 0.007 0.771

Values from the calculation:
Density of states at the Fermi level in states/eV/f.u.: 1.118
Calculated volume in Å³ per cell: 218.4
Raw formation energy in eV/atom: -0.408

***

2.
# Lu2CuIr

A geometry-optimized Lu2CuIr structure (PBE-GGA, Alexandria).

abc: 4.732 4.732 3.423
angles: 90.00 90.00 90.00
Sites, in units of the cell vectors:
Lu: 0.000 0.500 0.000
Lu: 0.500 0.000 0.000
Cu: 0.000 0.000 0.500
Ir: 0.500 0.500 0.500

Values from the calculation:
Density of states at the Fermi level in states/eV/f.u.: 2.071
Calculated volume in Å³ per cell: 76.7
E_form in eV per atom: -0.67

***

3.
# Ni2AgRu2

A geometry-optimized Ni2AgRu2 structure (PBE-GGA, Alexandria).

abc: 7.253 7.253 2.657
angles: 90.00 90.00 90.00
Sites, in units of the cell vectors:
Ni: 0.121 0.379 0.000
Ni: 0.379 0.879 0.000
Ni: 0.621 0.121 0.000
Ni: 0.879 0.621 0.000
Ag: 0.000 0.000 0.000
Ag: 0.500 0.500 0.000
Ru: 0.173 0.673 0.500
Ru: 0.327 0.173 0.500
Ru: 0.673 0.827 0.500
Ru: 0.827 0.327 0.500

Values from the calculation:
Density of states at the Fermi level in states/eV/f.u.: 6.133
Calculated volume in Å³ per cell: 139.7
E_form in eV per atom: 0.39
Offset from the most stable computed form in eV per formula unit: 0.00

***

Copy entry 2 word for word.
# Lu2CuIr

A geometry-optimized Lu2CuIr structure (PBE-GGA, Alexandria).

abc: 4.732 4.732 3.423
angles: 90.00 90.00 90.00
Sites, in units of the cell vectors:
Lu: 0.000 0.500 0.000
Lu: 0.500 0.000 0.000
Cu: 0.000 0.000 0.500
Ir: 0.500 0.500 0.500

Values from the calculation:
Density of states at the Fermi level in states/eV/f.u.: 2.071
Calculated volume in Å³ per cell: 76.7
E_form in eV per atom: -0.67

***

calculated volume of number 3 (Ni2AgRu2)?
139.7 Å³ per cell

***

Number 2 is which compound?
Lu2CuIr